# 1
Material: Ac8Ir3RhI3
Method: DFT, PBE-GGA
State: optimized geometry

Geometry as POSCAR:
```
Ac8Ir3RhI3
1.0
7.6067 -4.3907 0.0000
7.6067 4.3907 0.0000
-5.0566 0.0000 8.6297
Ac Ir Rh I
8 3 1 3
Direct
0.2266 0.7284 0.6828 Ac
0.2283 0.2283 0.6841 Ac
0.2717 0.2717 0.3173 Ac
0.2716 0.7734 0.3172 Ac
0.7284 0.2266 0.6828 Ac
0.7283 0.7283 0.6827 Ac
0.7717 0.7717 0.3159 Ac
0.7734 0.2716 0.3172 Ac
0.0000 0.0000 0.5000 Ir
0.0000 0.5000 0.5000 Ir
0.5000 0.0000 0.5000 Ir
0.5000 0.5000 0.5000 Rh
0.0000 0.5000 0.0000 I
0.5000 0.0000 0.0000 I
0.5000 0.5000 0.0000 I
```

## Properties
The space group is No. 12. Its crystal system is monoclinic. Its formation energy from raw total energies is -0.9396 eV per atom. Its size of the total moment is 0.034 μB per atom.

# 2
Material: Ac8Ir3RhI4
Method: DFT, PBE-GGA
State: optimized geometry

Geometry as POSCAR:
```
Ac8Ir3RhI4
1.0
4.3927 2.5361 8.6423
-4.3927 2.5361 8.6423
0.0000 -5.0723 8.6423
Ac Ir Rh I
8 3 1 4
Direct
0.2267 0.7286 0.7286 Ac
0.2279 0.2279 0.2279 Ac
0.2714 0.2714 0.7733 Ac
0.2714 0.7733 0.2714 Ac
0.7286 0.2267 0.7286 Ac
0.7286 0.7286 0.2267 Ac
0.7721 0.7721 0.7721 Ac
0.7733 0.2714 0.2714 Ac
0.0000 0.0000 0.5000 Ir
0.0000 0.5000 0.0000 Ir
0.5000 0.0000 0.0000 Ir
0.5000 0.5000 0.5000 Rh
0.0000 0.0000 0.0000 I
0.0000 0.5000 0.5000 I
0.5000 0.0000 0.5000 I
0.5000 0.5000 0.0000 I
```

## Properties
The space group is No. 166. Its crystal system is trigonal. Its formation energy from raw total energies is -1.0632 eV per atom. Its size of the total moment is 0.000 μB per atom.

# 3
Material: Ac6Ir3Rh2I
Method: DFT, PBE-GGA
State: optimized geometry

Geometry as POSCAR:
```
Ac6Ir3Rh2I
1.0
9.5064 -2.1705 0.0000
9.5064 2.1705 0.0000
-1.9358 0.0000 8.7901
Ac Ir Rh I
6 3 2 1
Direct
0.0035 0.0035 0.2855 Ac
0.3179 0.3179 0.9044 Ac
0.3315 0.3315 0.4081 Ac
0.6685 0.6685 0.5919 Ac
0.6821 0.6821 0.0956 Ac
0.9965 0.9965 0.7145 Ac
0.1583 0.1583 0.8374 Ir
0.5000 0.5000 0.5000 Ir
0.8417 0.8417 0.1626 Ir
0.1663 0.1663 0.3356 Rh
0.8337 0.8337 0.6644 Rh
0.5000 0.5000 0.0000 I
```

## Properties
The space group is No. 12. Its crystal system is monoclinic. Its formation energy from raw total energies is -0.6373 eV per atom. Its size of the total moment is 0.000 μB per atom.

# 4
Material: Ac8IrRu3I3
Method: DFT, PBE-GGA
State: optimized geometry

Geometry as POSCAR:
```
Ac8IrRu3I3
1.0
7.5423 -4.3510 0.0000
7.5423 4.3510 0.0000
-5.0433 0.0000 8.7475
Ac Ir Ru I
8 1 3 3
Direct
0.2248 0.7270 0.6787 Ac
0.2276 0.2276 0.6826 Ac
0.2730 0.2730 0.3212 Ac
0.2730 0.7752 0.3213 Ac
0.7270 0.2248 0.6787 Ac
0.7270 0.7270 0.6788 Ac
0.7724 0.7724 0.3174 Ac
0.7752 0.2730 0.3213 Ac
0.5000 0.5000 0.5000 Ir
0.0000 0.0000 0.5000 Ru
0.0000 0.5000 0.5000 Ru
0.5000 0.0000 0.5000 Ru
0.0000 0.5000 0.0000 I
0.5000 0.0000 0.0000 I
0.5000 0.5000 0.0000 I
```

## Properties
The space group is No. 12. Its crystal system is monoclinic. Its formation energy from raw total energies is -0.6560 eV per atom. Its size of the total moment is 0.000 μB per atom.

# 5
Material: Ac4IrRuI2
Method: DFT, PBE-GGA
State: optimized geometry

Geometry as POSCAR:
```
Ac4IrRuI2
1.0
7.5629 0.0000 0.0000
0.0000 4.3756 0.0000
-2.5387 0.0000 8.6337
Ac Ir Ru I
4 1 1 2
Direct
0.2252 0.0000 0.1841 Ac
0.2687 0.5000 0.8168 Ac
0.7313 0.5000 0.1832 Ac
0.7748 0.0000 0.8159 Ac
0.5000 0.0000 0.0000 Ir
0.0000 0.5000 0.0000 Ru
0.0000 0.0000 0.5000 I
0.5000 0.5000 0.5000 I
```

## Properties
The space group is No. 10. Its crystal system is monoclinic. Its formation energy from raw total energies is -0.8838 eV per atom. Its size of the total moment is 0.000 μB per atom.

# 6
Material: Ac8IrRu3I4
Method: DFT, PBE-GGA
State: optimized geometry

Geometry as POSCAR:
```
Ac8IrRu3I4
1.0
4.3615 2.5181 8.6333
-4.3615 2.5181 8.6333
0.0000 -5.0362 8.6333
Ac Ir Ru I
8 1 3 4
Direct
0.2246 0.7295 0.7295 Ac
0.2282 0.2282 0.2282 Ac
0.2705 0.2705 0.7754 Ac
0.2705 0.7754 0.2705 Ac
0.7295 0.2246 0.7295 Ac
0.7295 0.7295 0.2246 Ac
0.7718 0.7718 0.7718 Ac
0.7754 0.2705 0.2705 Ac
0.5000 0.5000 0.5000 Ir
0.0000 0.0000 0.5000 Ru
0.0000 0.5000 0.0000 Ru
0.5000 0.0000 0.0000 Ru
0.0000 0.0000 0.0000 I
0.0000 0.5000 0.5000 I
0.5000 0.0000 0.5000 I
0.5000 0.5000 0.0000 I
```

## Properties
The space group is No. 166. Its crystal system is trigonal. Its formation energy from raw total energies is -0.7852 eV per atom. Its size of the total moment is 0.000 μB per atom.

# 7
Material: Ac6Ir2SI3
Method: DFT, PBE-GGA
State: optimized geometry

Geometry as POSCAR:
```
Ac6Ir2SI3
1.0
3.8598 -6.6862 0.0000
3.8598 6.6862 0.0000
-2.5645 0.0000 8.5551
Ac Ir S I
6 2 1 3
Direct
0.0875 0.4373 0.8138 Ac
0.2120 0.2120 0.1860 Ac
0.4373 0.0875 0.8138 Ac
0.5627 0.9125 0.1862 Ac
0.7880 0.7880 0.8140 Ac
0.9125 0.5627 0.1862 Ac
0.1668 0.8332 0.0000 Ir
0.8332 0.1668 0.0000 Ir
0.5000 0.5000 0.0000 S
0.0000 0.0000 0.5000 I
0.3351 0.6649 0.5000 I
0.6649 0.3351 0.5000 I
```

## Properties
The space group is No. 12. Its crystal system is monoclinic. Its formation energy from raw total energies is -1.1916 eV per atom. Its size of the total moment is 0.000 μB per atom.

# 8
Material: Ac6Ir3S2I
Method: DFT, PBE-GGA
State: optimized geometry

Geometry as POSCAR:
```
Ac6Ir3S2I
1.0
9.9383 -2.1607 0.0000
9.9383 2.1607 0.0000
-2.8789 0.0000 8.8029
Ac Ir S I
6 3 2 1
Direct
0.0054 0.0054 0.2153 Ac
0.3188 0.3188 0.4253 Ac
0.3359 0.3359 0.9084 Ac
0.6641 0.6641 0.0916 Ac
0.6812 0.6812 0.5747 Ac
0.9946 0.9946 0.7847 Ac
0.1649 0.1649 0.3284 Ir
0.5000 0.5000 0.0000 Ir
0.8351 0.8351 0.6716 Ir
0.1659 0.1659 0.8285 S
0.8341 0.8341 0.1715 S
0.5000 0.5000 0.5000 I
```

## Properties
The space group is No. 12. Its crystal system is monoclinic. Its formation energy from raw total energies is -1.1708 eV per atom. Its size of the total moment is 0.000 μB per atom.

# 9
Material: Ac4IrSI2
Method: DFT, PBE-GGA
State: optimized geometry

Geometry as POSCAR:
```
Ac4IrSI2
1.0
7.9061 0.0000 0.0000
0.0000 4.3342 0.0000
-2.5513 0.0000 8.4248
Ac Ir S I
4 1 1 2
Direct
0.2114 0.0000 0.1884 Ac
0.2634 0.5000 0.8083 Ac
0.7366 0.5000 0.1917 Ac
0.7886 0.0000 0.8116 Ac
0.0000 0.5000 0.0000 Ir
0.5000 0.0000 0.0000 S
0.0000 0.0000 0.5000 I
0.5000 0.5000 0.5000 I
```

## Properties
The space group is No. 10. Its crystal system is monoclinic. Its formation energy from raw total energies is -1.2256 eV per atom. Its size of the total moment is 0.000 μB per atom.

# 10
Material: Ac8Ir3SI4
Method: DFT, PBE-GGA
State: optimized geometry

Geometry as POSCAR:
```
Ac8Ir3SI4
1.0
4.4456 2.5667 8.5730
-4.4456 2.5667 8.5730
0.0000 -5.1333 8.5730
Ac Ir S I
8 3 1 4
Direct
0.2142 0.7361 0.7361 Ac
0.2277 0.2277 0.2277 Ac
0.2639 0.2639 0.7858 Ac
0.2639 0.7858 0.2639 Ac
0.7361 0.2142 0.7361 Ac
0.7361 0.7361 0.2142 Ac
0.7723 0.7723 0.7723 Ac
0.7858 0.2639 0.2639 Ac
0.0000 0.0000 0.5000 Ir
0.0000 0.5000 0.0000 Ir
0.5000 0.0000 0.0000 Ir
0.5000 0.5000 0.5000 S
0.0000 0.0000 0.0000 I
0.0000 0.5000 0.5000 I
0.5000 0.0000 0.5000 I
0.5000 0.5000 0.0000 I
```

## Properties
The space group is No. 166. Its crystal system is trigonal. Its formation energy from raw total energies is -1.1445 eV per atom. Its size of the total moment is 0.000 μB per atom.

# 11
Material: Ac8SbIr3I4
Method: DFT, PBE-GGA
State: optimized geometry

Geometry as POSCAR:
```
Ac8SbIr3I4
1.0
4.5509 2.6275 8.5282
-4.5509 2.6275 8.5282
0.0000 -5.2549 8.5282
Ac Sb Ir I
8 1 3 4
Direct
0.2025 0.7426 0.7426 Ac
0.2285 0.2285 0.2285 Ac
0.2574 0.2574 0.7975 Ac
0.2574 0.7975 0.2574 Ac
0.7426 0.2025 0.7426 Ac
0.7426 0.7426 0.2025 Ac
0.7715 0.7715 0.7715 Ac
0.7975 0.2574 0.2574 Ac
0.5000 0.5000 0.5000 Sb
0.0000 0.0000 0.5000 Ir
0.0000 0.5000 0.0000 Ir
0.5000 0.0000 0.0000 Ir
0.0000 0.0000 0.0000 I
0.0000 0.5000 0.5000 I
0.5000 0.0000 0.5000 I
0.5000 0.5000 0.0000 I
```

## Properties
The space group is No. 166. Its crystal system is trigonal. Its formation energy from raw total energies is -1.0269 eV per atom. Its size of the total moment is 0.000 μB per atom.

# 12
Material: Ac2ScIr2I2
Method: DFT, PBE-GGA
State: optimized geometry

Geometry as POSCAR:
```
Ac2ScIr2I2
1.0
5.0026 0.0000 0.0000
0.0000 5.0026 0.0000
0.0000 0.0000 17.7761
Ac Sc Ir I
4 2 4 4
Direct
0.0000 0.0000 0.1062 Ac
0.0000 0.0000 0.8938 Ac
0.5000 0.5000 0.3938 Ac
0.5000 0.5000 0.6062 Ac
0.0000 0.0000 0.5000 Sc
0.5000 0.5000 0.0000 Sc
0.0000 0.5000 0.0000 Ir
0.0000 0.5000 0.5000 Ir
0.5000 0.0000 0.0000 Ir
0.5000 0.0000 0.5000 Ir
0.0000 0.0000 0.3127 I
0.0000 0.0000 0.6873 I
0.5000 0.5000 0.1873 I
0.5000 0.5000 0.8127 I
```

## Properties
The space group is No. 139. Its crystal system is tetragonal. Its formation energy from raw total energies is -0.8710 eV per atom. Its size of the total moment is 0.000 μB per atom.